A plane-wave DFT calculation with PBE-GGA was carried out for a geometry-optimized Sm5Hf3N8 structure.

The value obtained for the energy relative to the elements, uncorrected is -2495 kJ/mol of formula units. The value obtained for the volume is 683.53 Å³/cell.

Cell lengths 6.8183, 6.8183, 16.9774 Å; angles 90.00, 90.00, 120.00 degrees
Last column: nearest neighbours and their distance in Å.
Space group R-3m (No. 166, hexagonal axes)
Inequivalent atoms, fractional coordinates:
Sm (0.0000, 0.0000, 0.0000) x3  6 N 2.43
Sm (0.0000, 0.0000, 0.5000) x3  6 N 2.43
Sm (0.0000, 0.5000, 0.0000) x9  6 N 2.54-2.56
Hf (0.0000, 0.5000, 0.5000) x9  6 N 2.30-2.32
N (0.0000, 0.0000, 0.2390) x6  3 Hf 2.32, 3 Sm 2.54
N (0.0178, 0.5089, 0.7590) x18  2 Hf 2.30, 4 Sm 2.43-2.56

***

A plane-wave DFT calculation with PBE-GGA was carried out for a geometry-optimized TcAg structure.

As for the formation energy: 53 kJ per mole of atoms. The value obtained for the volume is 132.42 Å³/cell. For the relative energy among the computed polymorphs, the calculation gives 378 meV/atom.

Cell lengths 3.5978, 4.4978, 8.1828 Å; angles 90.00, 90.00, 90.00 degrees
Last column: nearest neighbours and their distance in Å.
Space group Imma (No. 74)
Inequivalent atoms, fractional coordinates:
Tc (0.0000, 0.2500, 0.1531) x4  2 Tc 2.40
Ag (0.0000, 0.2500, 0.6184) x4  4 Ag 2.81-2.97, 8 Tc 2.86-2.93

***

A plane-wave DFT calculation with PBE-GGA was carried out for a geometry-optimized LaNdTh2As4 structure.

As for the formation energy: -144 kJ per mole of atoms. The value obtained for the volume is 222.83 Å³/cell.

Cell lengths 7.4245, 4.2885, 7.4258 Å; angles 90.00, 109.53, 90.00 degrees
Last column: nearest neighbours and their distance in Å.
Space group P2/m (No. 10)
Inequivalent atoms, fractional coordinates:
La (0.0000, 0.0000, 0.0000) x1  6 As 3.06
Nd (0.5000, 0.5000, 0.0000) x1  6 As 3.05
Th (0.0000, 0.5000, 0.5000) x1  6 As 3.01
Th (0.5000, 0.0000, 0.5000) x1  6 As 3.00
As (0.2499, 0.0000, 0.7447) x2  3 Th 3.00-3.01, 2 Nd 3.05, 1 La 3.06
As (0.2538, 0.5000, 0.2568) x2  3 Th 3.00-3.01, 1 Nd 3.05, 2 La 3.06

***

A plane-wave DFT calculation with PBE-GGA was carried out for a geometry-optimized Tb3Dy4Sc2 structure.

As for the formation energy: 10 kJ per mole of atoms. The value obtained for the volume is 1097.45 Å³/cell. For the relative energy among the computed polymorphs, the calculation gives 0 meV/atom.

Cell lengths 16.7886, 9.8262, 6.6669 Å; angles 90.00, 93.76, 90.00 degrees
Last column: nearest neighbours and their distance in Å.
Space group C2/c (No. 15)
Inequivalent atoms, fractional coordinates:
Tb (0.0000, 0.0091, 0.2500) x4  2 Tb 3.34, 6 Dy 3.45-3.58, 2 Sc 3.62
Tb (0.1521, 0.4529, 0.2398) x8  6 Dy 3.30-3.54, 3 Sc 3.35-3.61, 2 Tb 3.46
Dy (0.0162, 0.3169, 0.5151) x8  3 Dy 3.21-3.59, 5 Tb 3.30-3.58, 2 Sc 3.34-3.56
Dy (0.1889, 0.1227, 0.4036) x8  4 Sc 3.33-3.58, 4 Tb 3.34-3.54, 2 Dy 3.43-3.59
Sc (0.1664, 0.2138, 0.8856) x8  1 Sc 3.19, 5 Dy 3.33-3.56, 2 Tb 3.35-3.42

***

A plane-wave DFT calculation with PBE-GGA was carried out for a geometry-optimized HoLuInPt structure.

As for the formation energy: -74 kJ per mole of atoms. The value obtained for the volume is 368.07 Å³/cell.

Cell lengths 7.1665, 7.1665, 7.1665 Å; angles 90.00, 90.00, 90.00 degrees
Last column: nearest neighbours and their distance in Å.
Space group F-43m (No. 216)
Inequivalent atoms, fractional coordinates:
Ho (0.0000, 0.0000, 0.0000) x4  4 Pt 3.10, 4 In 3.10
Lu (0.0000, 0.0000, 0.5000) x4  4 In 3.10, 4 Pt 3.10
In (0.2500, 0.2500, 0.2500) x4  4 Ho 3.10, 4 Lu 3.10
Pt (0.2500, 0.2500, 0.7500) x4  4 Ho 3.10, 4 Lu 3.10

***

A plane-wave DFT calculation with PBE-GGA was carried out for a geometry-optimized BaAs2IrRu structure.

As for the formation energy: -67 kJ per mole of atoms. The value obtained for the volume is 219.73 Å³/cell.

Cell lengths 4.1567, 4.1567, 12.7173 Å; angles 90.00, 90.00, 90.00 degrees
Last column: nearest neighbours and their distance in Å.
Space group I-4m2 (No. 119)
Inequivalent atoms, fractional coordinates:
Ba (0.0000, 0.0000, 0.0000) x2  8 As 3.48, 4 Ru 3.80, 4 Ir 3.80
As (0.0000, 0.0000, 0.3536) x4  2 Ru 2.46, 2 Ir 2.46
Ir (0.0000, 0.5000, 0.2500) x2  4 As 2.46
Ru (0.0000, 0.5000, 0.7500) x2  4 As 2.46

***

A plane-wave DFT calculation with PBE-GGA was carried out for a geometry-optimized CsTl2CI structure.

The value obtained for the energy relative to the elements, uncorrected is 530 kJ/mol of formula units. The value obtained for the volume is 221.80 Å³/cell.

Cell lengths 6.4894, 6.4894, 5.2667 Å; angles 90.00, 90.00, 90.00 degrees
Last column: nearest neighbours and their distance in Å.
Space group P4/mmm (No. 123)
Inequivalent atoms, fractional coordinates:
Cs (0.0000, 0.0000, 0.0000) x1  8 Tl 4.18, 4 C 4.59
Tl (0.0000, 0.5000, 0.5000) x2  2 I 3.24
C (0.5000, 0.5000, 0.0000) x1  2 I 2.63
I (0.5000, 0.5000, 0.5000) x1  2 C 2.63

***

A plane-wave DFT calculation with PBE-GGA was carried out for a geometry-optimized ZnCu2Ni3 structure.

As for the formation energy: 7 kJ per mole of atoms. The value obtained for the volume is 287.20 Å³/cell. For the relative energy among the computed polymorphs, the calculation gives 0 meV/atom.

Cell lengths 5.0035, 12.5556, 4.5718 Å; angles 90.00, 90.00, 90.00 degrees
Last column: nearest neighbours and their distance in Å.
Space group Cmcm (No. 63)
Inequivalent atoms, fractional coordinates:
Zn (0.0000, 0.1544, 0.2500) x4  8 Ni 2.45-2.63, 4 Cu 2.59
Cu (0.2450, 0.5000, 0.0000) x8  4 Cu 2.29-2.55, 2 Ni 2.50
Ni (0.0000, 0.3446, 0.7500) x4  6 Ni 2.45-2.61, 2 Zn 2.50, 4 Cu 2.57
Ni (0.2473, 0.3229, 0.2500) x8  3 Zn 2.45-2.63, 5 Ni 2.45-2.61, 2 Cu 2.50

***

A plane-wave DFT calculation with PBE-GGA was carried out for a geometry-optimized AlHgI5 structure.

The value obtained for the energy relative to the elements, uncorrected is -310 kJ/mol of formula units. The value obtained for the volume is 717.78 Å³/cell.

Cell lengths 7.5931, 10.2043, 11.1112 Å; angles 115.06, 109.73, 92.05 degrees
Last column: nearest neighbours and their distance in Å.
Space group P-1 (No. 2)
Inequivalent atoms, fractional coordinates:
Al (0.1419, 0.3815, 0.2176) x2  4 I 2.51-2.75
Hg (0.0000, 0.0000, 0.5000) x1  2 I 2.63
Hg (0.5000, 0.5000, 0.0000) x1  2 I 2.72
I (0.1293, 0.7049, 0.0272) x2  1 Al 2.54
I (0.1577, 0.6324, 0.4093) x2  1 Al 2.51
I (0.1975, 0.1859, 0.3004) x2  1 Al 2.52
I (0.3370, 0.1093, 0.7154) x2  1 Hg 2.63
I (0.4793, 0.3861, 0.1775) x2  1 Hg 2.72, 1 Al 2.75

***

A plane-wave DFT calculation with PBE-GGA was carried out for a geometry-optimized Cs2MoWI6 structure.

The value obtained for the energy relative to the elements, uncorrected is -279 kJ/mol of formula units. The value obtained for the volume is 814.74 Å³/cell.

Cell lengths 8.3124, 8.3124, 11.7913 Å; angles 90.00, 90.00, 90.00 degrees
Last column: nearest neighbours and their distance in Å.
Space group I4/mmm (No. 139)
Inequivalent atoms, fractional coordinates:
Cs (0.0000, 0.5000, 0.2500) x4  12 I 4.16
Mo (0.0000, 0.0000, 0.0000) x2  6 I 2.99-3.02
W (0.0000, 0.0000, 0.5000) x2  6 I 2.88
I (0.0000, 0.0000, 0.2559) x4  1 W 2.88, 1 Mo 3.02
I (0.2454, 0.2454, 0.5000) x8  1 W 2.88, 1 Mo 2.99

***

A plane-wave DFT calculation with PBE-GGA was carried out for a geometry-optimized BaRe3Pt structure.

As for the formation energy: 190 kJ per mole of atoms. The value obtained for the volume is 119.14 Å³/cell. For the relative energy among the computed polymorphs, the calculation gives 0 meV/atom.

Cell lengths 4.9207, 4.9207, 4.9207 Å; angles 90.00, 90.00, 90.00 degrees
Last column: nearest neighbours and their distance in Å.
Space group Pm-3m (No. 221)
Inequivalent atoms, fractional coordinates:
Ba (0.0000, 0.0000, 0.0000) x1  12 Re 3.48
Re (0.0000, 0.5000, 0.5000) x3  2 Pt 2.46
Pt (0.5000, 0.5000, 0.5000) x1  6 Re 2.46

***

A plane-wave DFT calculation with PBE-GGA was carried out for a geometry-optimized LiReAu2 structure.

As for the formation energy: 51 kJ per mole of atoms. The value obtained for the volume is 255.97 Å³/cell. For the relative energy among the computed polymorphs, the calculation gives 475 meV/atom.

Cell lengths 6.3494, 6.3494, 6.3494 Å; angles 90.00, 90.00, 90.00 degrees
Last column: nearest neighbours and their distance in Å.
Space group F-43m (No. 216)
Inequivalent atoms, fractional coordinates:
Li (0.0000, 0.0000, 0.0000) x4  4 Re 2.75, 4 Au 2.75
Re (0.2500, 0.2500, 0.7500) x4  4 Li 2.75, 4 Au 2.75
Au (0.0000, 0.0000, 0.5000) x4  4 Re 2.75, 4 Au 2.75
Au (0.2500, 0.2500, 0.2500) x4  4 Li 2.75, 4 Au 2.75